No. 1
A geometry-optimized NbAl4Co5 structure, computed with PBE.

The structure in POSCAR format:
```
NbAl4Co5
1.0
-0.501 2.095 1.822
0.028 -1.847 2.132
14.996 2.143 1.659
Al Co Nb
4 5 1
direct
0.000 0.000 0.405
0.000 0.000 0.787
0.000 0.000 0.595
0.000 0.000 0.213
0.500 0.500 0.311
0.500 0.500 0.689
0.500 0.500 0.120
0.500 0.500 0.880
0.500 0.500 0.500
0.000 0.000 0.000
```

Computed properties:
formation energy from the elements: -512 meV/atom
space group: P4/mmm, No. 123

---

No. 2
A geometry-optimized ScGeAs3 structure, computed with PBE.

The structure in POSCAR format:
```
ScGeAs3
1.0
4.896 0.000 0.000
0.000 4.896 0.000
0.000 0.000 4.896
Sc Ge As
1 1 3
direct
0.500 0.500 0.500
0.000 0.000 0.000
0.000 0.000 0.500
0.000 0.500 0.000
0.500 0.000 0.000
```

Computed properties:
formation energy from the elements: 386 meV/atom
E above lowest polymorph: 20 meV/atom
space group: Pm-3m, No. 221

---

No. 3
A geometry-optimized La2AlSbPd6 structure, computed with PBE.

The structure in POSCAR format:
```
La2AlSbPd6
1.0
5.908 0.027 -0.184
0.021 7.212 0.243
2.872 3.787 5.156
Sb Pd La Al
1 6 2 1
direct
0.000 0.000 0.000
0.784 0.812 0.506
0.904 0.707 0.902
0.096 0.293 0.098
0.855 0.383 0.785
0.216 0.188 0.494
0.145 0.617 0.215
0.336 0.813 0.423
0.664 0.187 0.577
0.500 0.500 0.000
```

Computed properties:
formation energy (no corrections): -7.0 eV/f.u.
space group: P-1, No. 2

---

No. 4
A geometry-optimized NaSmSb2 structure, computed with PBE.

The structure in POSCAR format:
```
NaSmSb2
1.0
6.094 1.696 0.000
1.696 6.094 0.000
0.000 0.000 6.499
Sb Na Sm
4 2 2
direct
0.000 0.500 0.831
0.500 0.000 0.169
0.000 0.000 0.500
0.500 0.500 0.500
0.000 0.000 0.000
0.500 0.500 0.000
0.000 0.500 0.324
0.500 0.000 0.676
```

Computed properties:
formation energy (no corrections): -2.4 eV/f.u.
E above lowest polymorph: 23 meV/atom
space group: Cmme, No. 67

---

No. 5
A geometry-optimized RhSO6 structure, computed with PBE.

The structure in POSCAR format:
```
RhSO6
1.0
-2.798 -3.893 2.568
3.782 -0.341 -3.894
2.902 0.805 3.397
O Rh S
6 1 1
direct
0.822 0.588 0.710
0.744 0.744 0.268
0.256 0.256 0.732
0.588 0.822 0.710
0.178 0.412 0.290
0.412 0.178 0.290
0.000 0.000 0.000
0.500 0.500 0.500
```

Computed properties:
formation energy (no corrections): -3.0 eV/f.u.
space group: C2/m, No. 12

---

No. 6
A geometry-optimized EuErPtAu structure, computed with PBE.

The structure in POSCAR format:
```
EuErPtAu
1.0
5.061 0.000 0.000
2.531 4.383 0.000
2.531 1.461 4.132
Eu Au Pt Er
1 1 1 1
direct
0.000 0.000 0.000
0.250 0.250 0.250
0.750 0.750 0.750
0.500 0.500 0.500
```

Computed properties:
formation energy from the elements: -906 meV/atom
space group: F-43m, No. 216

---

Number 2 is which compound?
ScGeAs3